LaTb4Cu5 PBE-GGA relaxed; space-group type = P4/mmm, No. 123; formation enthalpy at 0 K = -218.3 meV/atom; crystal system = tetragonal
1.0
3.496 0.000 0.000
0.000 3.496 0.000
0.000 0.000 17.800
La Tb Cu
1 4 5
Cartesian
0.000 0.000 0.000
0.000 0.000 3.661
0.000 0.000 7.152
0.000 0.000 10.648
0.000 0.000 14.139
1.748 1.748 2.009
1.748 1.748 5.405
1.748 1.748 8.900
1.748 1.748 12.395
1.748 1.748 15.791


Cs2HgSeF6 PBE-GGA relaxed; space-group type = I4/mmm, No. 139; raw formation energy = -1951 meV/atom; crystal system = tetragonal
1.0
-3.230 3.230 5.305
3.230 -3.230 5.305
3.230 3.230 -5.305
Cs Hg Se F
2 1 1 6
Cartesian
3.230 0.000 2.653
0.000 3.230 2.653
0.000 0.000 0.000
0.000 0.000 5.305
0.000 0.000 2.082
1.798 1.798 0.000
1.432 -1.432 5.305
-1.432 1.432 5.305
1.432 1.432 5.305
0.000 0.000 8.529


| no. | electronic total energy (eV/f.u.) |
| --- | --- |
| 1 | -46.1 |
| 2 | -36.2 |